*a*
Computed, not measured: a geometry-optimized Sc2NiSn2 structure at the PBE-GGA level of DFT.

```
Sc2NiSn2
1.0
-2.336 -2.182 5.984
-3.707 -4.717 -3.167
3.472 -2.923 0.289
Sc Ni Sn
4 2 4
direct
0.164 0.664 0.500 Sc
0.664 0.836 0.500 Sc
0.836 0.336 0.500 Sc
0.336 0.164 0.500 Sc
0.000 0.000 0.000 Ni
0.500 0.500 0.000 Ni
0.349 0.849 0.000 Sn
0.849 0.651 0.000 Sn
0.651 0.151 0.000 Sn
0.151 0.349 0.000 Sn
```

***

*b*
Computed, not measured: a geometry-optimized Sc2NiSn2 structure at the PBE-GGA level of DFT.

```
Sc2NiSn2
1.0
5.875 0.000 0.000
0.000 5.927 0.000
-2.937 -2.963 6.106
Sc Ni Sn
4 2 4
direct
0.840 0.536 0.679 Sc
0.160 0.464 0.321 Sc
0.660 0.857 0.321 Sc
0.340 0.143 0.679 Sc
0.750 0.500 0.000 Ni
0.250 0.500 0.000 Ni
0.407 0.715 0.813 Sn
0.593 0.285 0.187 Sn
0.093 0.902 0.187 Sn
0.907 0.098 0.813 Sn
```

***

It is *b* that is the most stable of them.

***

*a*
Computed, not measured: a geometry-optimized Sc4Ni2Sn structure at the PBE-GGA level of DFT.

```
Sc4Ni2Sn
1.0
4.412 0.000 0.000
2.206 3.821 0.000
2.206 1.274 8.821
Sc Ni Sn
4 2 1
direct
0.390 0.390 0.830 Sc
0.200 0.200 0.399 Sc
0.800 0.800 0.601 Sc
0.610 0.610 0.170 Sc
0.100 0.100 0.701 Ni
0.900 0.900 0.299 Ni
0.000 0.000 0.000 Sn
```

***

*b*
Computed, not measured: a geometry-optimized Sc4Ni2Sn structure at the PBE-GGA level of DFT.

```
Sc4Ni2Sn
1.0
-3.846 -1.825 -2.138
4.083 0.447 -2.414
3.755 -12.618 4.012
Sc Ni Sn
8 4 2
direct
0.167 0.833 0.876 Sc
0.167 0.833 0.624 Sc
0.833 0.167 0.124 Sc
0.833 0.167 0.376 Sc
0.166 0.834 0.250 Sc
0.834 0.166 0.750 Sc
0.500 0.500 0.000 Sc
0.500 0.500 0.500 Sc
0.833 0.167 0.556 Ni
0.167 0.833 0.056 Ni
0.833 0.167 0.944 Ni
0.167 0.833 0.444 Ni
0.499 0.501 0.250 Sn
0.501 0.499 0.750 Sn
```

***

It is *b* that is the most stable of them.

***

*a*
Computed, not measured: a geometry-optimized SrScNi2 structure at the PBE-GGA level of DFT.

```
SrScNi2
1.0
3.174 0.000 0.000
0.000 7.208 -0.522
0.000 4.384 3.266
Ni Sc Sr
2 1 1
direct
0.000 0.000 0.000 Ni
0.500 0.500 0.000 Ni
0.500 0.500 0.500 Sc
0.000 0.000 0.500 Sr
```

***

*b*
Computed, not measured: a geometry-optimized SrScNi2 structure at the PBE-GGA level of DFT.

```
SrScNi2
1.0
-0.247 1.310 3.064
1.183 -2.881 1.327
7.679 -0.471 0.820
Ni Sc Sr
2 1 1
direct
0.000 0.938 0.063 Ni
0.000 0.562 0.437 Ni
0.500 0.250 0.250 Sc
0.500 0.750 0.750 Sr
```

***

It is *b* that is the most stable of them.

***

*a*
Computed, not measured: a geometry-optimized SrScNi2 structure at the PBE-GGA level of DFT.

```
SrScNi2
1.0
4.809 0.000 0.000
0.000 4.809 0.000
0.000 0.000 3.321
Ni Sc Sr
2 1 1
direct
0.000 0.000 0.000 Ni
0.500 0.500 0.000 Ni
0.500 0.000 0.500 Sc
0.000 0.500 0.500 Sr
```

***

*b*
Computed, not measured: a geometry-optimized SrScNi2 structure at the PBE-GGA level of DFT.

```
SrScNi2
1.0
5.994 -0.007 -0.005
4.416 4.053 -0.005
4.416 1.716 3.672
Ni Sc Sr
2 1 1
direct
0.948 0.948 0.948 Ni
0.552 0.552 0.552 Ni
0.250 0.250 0.250 Sc
0.750 0.750 0.750 Sr
```

***

*c*
Computed, not measured: a geometry-optimized SrScNi2 structure at the PBE-GGA level of DFT.

```
SrScNi2
1.0
4.037 0.000 0.002
2.021 3.494 0.002
2.013 1.161 6.825
Ni Sc Sr
2 1 1
direct
0.053 0.053 0.842 Ni
0.718 0.718 0.845 Ni
0.450 0.450 0.648 Sc
0.278 0.278 0.165 Sr
```

***

*d*
Computed, not measured: a geometry-optimized SrScNi2 structure at the PBE-GGA level of DFT.

```
SrScNi2
1.0
-2.687 -3.172 5.385
-3.790 -5.599 0.750
5.485 2.985 -2.697
Ni Sc Sr
2 1 1
direct
0.960 0.960 0.000 Ni
0.842 0.342 0.500 Ni
0.478 0.478 0.000 Sc
0.220 0.720 0.500 Sr
```

***

It is *c* that is the most stable of them.

***

*a*
Computed, not measured: a geometry-optimized SrScNi2 structure at the PBE-GGA level of DFT.

```
SrScNi2
1.0
-0.334 -2.758 -2.762
2.548 -2.133 1.822
-3.052 -3.613 3.977
Ni Sc Sr
2 1 1
direct
0.000 0.160 0.055 Ni
0.500 0.049 0.277 Ni
0.000 0.511 0.354 Sc
0.500 0.780 0.814 Sr
```

***

*b*
Computed, not measured: a geometry-optimized SrScNi2 structure at the PBE-GGA level of DFT.

```
SrScNi2
1.0
-4.543 0.805 -0.738
-2.969 0.113 3.607
-1.901 4.054 1.335
Ni Sc Sr
2 1 1
direct
0.000 0.000 0.000 Ni
0.750 0.750 0.750 Ni
0.500 0.500 0.500 Sc
0.250 0.250 0.250 Sr
```

***

It is *a* that is the most stable of them.

***

*a*
Computed, not measured: a geometry-optimized SrSc3Ni structure at the PBE-GGA level of DFT.

```
SrSc3Ni
1.0
5.095 0.000 0.000
0.000 5.095 0.000
0.000 0.000 5.095
Sc Sr Ni
3 1 1
direct
0.000 0.500 0.000 Sc
0.000 0.000 0.500 Sc
0.500 0.000 0.000 Sc
0.500 0.500 0.500 Sr
0.000 0.000 0.000 Ni
```

***

*b*
Computed, not measured: a geometry-optimized SrSc3Ni structure at the PBE-GGA level of DFT.

```
SrSc3Ni
1.0
-2.365 2.160 -3.850
-3.324 -3.745 -0.059
-2.905 2.528 3.202
Sc Sr Ni
3 1 1
direct
0.000 0.500 0.000 Sc
0.000 0.000 0.500 Sc
0.500 0.000 0.000 Sc
0.000 0.000 0.000 Sr
0.500 0.500 0.500 Ni
```

***

It is *a* that is the most stable of them.

***

*a*
Computed, not measured: a geometry-optimized SrSc2Ni2 structure at the PBE-GGA level of DFT.

```
SrSc2Ni2
1.0
7.831 0.000 0.000
0.000 7.831 0.000
0.000 0.000 3.417
Sc Sr Ni
4 2 4
direct
0.140 0.640 0.500 Sc
0.640 0.860 0.500 Sc
0.860 0.360 0.500 Sc
0.360 0.140 0.500 Sc
0.000 0.000 0.000 Sr
0.500 0.500 0.000 Sr
0.373 0.873 0.000 Ni
0.873 0.627 0.000 Ni
0.627 0.127 0.000 Ni
0.127 0.373 0.000 Ni
```

***

*b*
Computed, not measured: a geometry-optimized SrSc2Ni2 structure at the PBE-GGA level of DFT.

```
SrSc2Ni2
1.0
4.726 0.000 0.000
0.000 4.726 0.000
2.363 2.363 5.290
Sc Sr Ni
2 1 2
direct
0.338 0.338 0.324 Sc
0.662 0.662 0.676 Sc
0.000 0.000 0.000 Sr
0.750 0.250 0.500 Ni
0.250 0.750 0.500 Ni
```

***

It is *a* that is the most stable of them.

***

*a*
Computed, not measured: a geometry-optimized SrScNi3 structure at the PBE-GGA level of DFT.

```
SrScNi3
1.0
-0.712 -0.712 -4.598
0.503 -4.636 0.640
-4.626 -0.394 0.777
Sc Sr Ni
1 1 3
direct
0.000 0.000 0.000 Sc
0.500 0.500 0.500 Sr
0.000 0.500 0.000 Ni
0.000 0.000 0.500 Ni
0.500 0.000 0.000 Ni
```

***

*b*
Computed, not measured: a geometry-optimized SrScNi3 structure at the PBE-GGA level of DFT.

```
SrScNi3
1.0
4.760 0.000 0.000
0.000 4.760 0.000
0.000 0.000 4.760
Sc Sr Ni
1 1 3
direct
0.500 0.500 0.500 Sc
0.000 0.000 0.000 Sr
0.000 0.500 0.000 Ni
0.000 0.000 0.500 Ni
0.500 0.000 0.000 Ni
```

***

It is *a* that is the most stable of them.

***

*a*
Computed, not measured: a geometry-optimized ScTa2Ni structure at the PBE-GGA level of DFT.

```
ScTa2Ni
1.0
9.451 0.009 0.005
8.986 2.927 0.005
8.986 1.431 2.553
Ni Sc Ta
1 1 2
direct
0.250 0.250 0.250 Ni
0.750 0.750 0.750 Sc
0.991 0.991 0.991 Ta
0.509 0.509 0.509 Ta
```

***

*b*
Computed, not measured: a geometry-optimized ScTa2Ni structure at the PBE-GGA level of DFT.

```
ScTa2Ni
1.0
5.283 0.006 0.010
4.436 2.869 0.010
2.203 0.651 4.649
Ni Sc Ta
1 1 2
direct
0.489 0.489 0.403 Ni
0.214 0.214 0.338 Sc
0.011 0.011 0.975 Ta
0.786 0.786 0.784 Ta
```

***

It is *b* that is the most stable of them.

***

*a*
Computed, not measured: a geometry-optimized Sc2TaNi structure at the PBE-GGA level of DFT.

```
Sc2TaNi
1.0
1.747 0.000 9.624
-0.874 1.513 9.624
-0.874 -1.513 9.624
Sc Ni Ta
2 1 1
direct
0.901 0.901 0.901 Sc
0.099 0.099 0.099 Sc
0.500 0.500 0.500 Ni
0.000 0.000 0.000 Ta
```

***

*b*
Computed, not measured: a geometry-optimized Sc2TaNi structure at the PBE-GGA level of DFT.

```
Sc2TaNi
1.0
7.386 0.000 0.000
0.000 7.386 0.000
3.693 3.693 2.785
Sc Ni Ta
4 2 2
direct
0.575 0.125 0.250 Sc
0.175 0.625 0.250 Sc
0.375 0.425 0.750 Sc
0.875 0.825 0.750 Sc
0.500 0.500 0.000 Ni
0.250 0.750 0.500 Ni
0.000 0.000 0.000 Ta
0.750 0.250 0.500 Ta
```

***

It is *b* that is the most stable of them.

***

*a*
Computed, not measured: a geometry-optimized Sc2TaNi structure at the PBE-GGA level of DFT.

```
Sc2TaNi
1.0
-3.365 1.650 2.165
0.705 -1.818 2.482
3.593 3.046 3.264
Ni Sc Ta
1 2 1
direct
0.500 0.695 0.738 Ni
0.000 0.953 0.965 Sc
0.500 0.250 0.281 Sc
0.000 0.601 0.516 Ta
```

***

*b*
Computed, not measured: a geometry-optimized Sc2TaNi structure at the PBE-GGA level of DFT.

```
Sc2TaNi
1.0
-0.818 1.019 4.968
4.171 -1.139 2.773
-0.671 2.785 -4.264
Ni Sc Ta
1 2 1
direct
0.750 0.250 0.500 Ni
0.000 0.000 0.000 Sc
0.500 0.500 0.000 Sc
0.250 0.750 0.500 Ta
```

***

It is *a* that is the most stable of them.

***

*a*
Computed, not measured: a geometry-optimized Sc2TaNi structure at the PBE-GGA level of DFT.

```
Sc2TaNi
1.0
-2.622 -1.542 -3.769
3.473 -3.187 -1.114
-1.370 -2.131 1.825
Ni Sc Ta
1 2 1
direct
0.000 0.500 0.500 Ni
0.000 0.000 0.000 Sc
0.500 0.500 0.000 Sc
0.500 0.000 0.500 Ta
```

***

*b*
Computed, not measured: a geometry-optimized Sc2TaNi structure at the PBE-GGA level of DFT.

```
Sc2TaNi
1.0
3.065 0.000 0.000
0.000 3.065 0.000
0.000 0.000 8.136
Ni Sc Ta
1 2 1
direct
0.500 0.500 0.728 Ni
0.000 0.000 0.943 Sc
0.500 0.500 0.286 Sc
0.000 0.000 0.543 Ta
```

***

*c*
Computed, not measured: a geometry-optimized Sc2TaNi structure at the PBE-GGA level of DFT.

```
Sc2TaNi
1.0
9.140 -0.004 -0.003
8.620 3.038 -0.003
8.620 1.472 2.657
Ni Sc Ta
1 2 1
direct
0.750 0.750 0.750 Ni
0.010 0.010 0.010 Sc
0.490 0.490 0.490 Sc
0.250 0.250 0.250 Ta
```

***

*d*
Computed, not measured: a geometry-optimized Sc2TaNi structure at the PBE-GGA level of DFT.

```
Sc2TaNi
1.0
4.052 0.000 0.000
0.000 4.236 0.000
0.000 0.000 4.236
Ni Sc Ta
1 2 1
direct
0.500 0.000 0.500 Ni
0.000 0.000 0.000 Sc
0.000 0.500 0.500 Sc
0.500 0.500 0.000 Ta
```

***

It is *b* that is the most stable of them.